(1)
{"formula": "UV2Fe", "functional": "PBE-GGA", "state": "optimized geometry", "lattice": [[0.0000, 3.0518, 3.0518], [3.0518, 0.0000, 3.0518], [3.0518, 3.0518, 0.0000]], "species": ["U", "V", "V", "Fe"], "fractional_positions": [[0.0000, 0.0000, 0.0000], [0.2500, 0.2500, 0.2500], [0.7500, 0.7500, 0.7500], [0.5000, 0.5000, 0.5000]], "ef_mev_per_atom": 195.5, "space_group": "Fm-3m", "polymorph_energy_mev_per_atom": 0}


(2)
{"formula": "ZrZnTe2", "functional": "PBE-GGA", "state": "optimized geometry", "lattice": [[0.0000, 3.6434, 3.6434], [3.6434, 0.0000, 3.6434], [3.6434, 3.6434, 0.0000]], "species": ["Zr", "Zn", "Te", "Te"], "fractional_positions": [[0.0000, 0.0000, 0.0000], [0.2500, 0.2500, 0.2500], [0.5000, 0.5000, 0.5000], [0.7500, 0.7500, 0.7500]], "formation_energy_uncorrected_mev_per_atom": 134.5, "space_group": "F-43m"}


(3)
{"formula": "P2IrPb", "functional": "PBE-GGA", "state": "optimized geometry", "lattice": [[1.9309, 1.1148, 6.0046], [-1.9309, 1.1148, 6.0046], [0.0000, -2.2296, 6.0046]], "species": ["P", "P", "Ir", "Pb"], "fractional_positions": [[0.2207, 0.2207, 0.2207], [0.7793, 0.7793, 0.7793], [0.5000, 0.5000, 0.5000], [0.0000, 0.0000, 0.0000]], "ef_mev_per_atom": -90.1, "space_group": "R-3m"}


Repeat the second record exactly.
{"formula": "ZrZnTe2", "functional": "PBE-GGA", "state": "optimized geometry", "lattice": [[0.0000, 3.6434, 3.6434], [3.6434, 0.0000, 3.6434], [3.6434, 3.6434, 0.0000]], "species": ["Zr", "Zn", "Te", "Te"], "fractional_positions": [[0.0000, 0.0000, 0.0000], [0.2500, 0.2500, 0.2500], [0.5000, 0.5000, 0.5000], [0.7500, 0.7500, 0.7500]], "formation_energy_uncorrected_mev_per_atom": 134.5, "space_group": "F-43m"}